DFT (PBE) results for a relaxed TbScCF2 crystal.

## Properties
* electronic total energy: -35.8 eV per cell
* mass density: 6.36 g/cm3

Unit cell a=3.5041 b=3.5041 c=6.2361 alpha=90.00 beta=90.00 gamma=120.00
Last column: nearest neighbours and their distance in Å.
Fractional coordinates of all 5 atoms:
C 0.0000 0.0000 0.9857  3 Sc 2.37, 3 Tb 2.44
F 0.6667 0.3333 0.3918  3 Tb 2.34, 1 Sc 2.47, 3 F 2.51
F 0.3333 0.6667 0.6306  3 Sc 2.25, 3 F 2.51
Sc 0.6667 0.3333 0.7878  4 F 2.25-2.47, 3 C 2.37
Tb 0.3333 0.6667 0.2041  3 F 2.34, 3 C 2.44